Here is a PBEsol-optimized structure of SiSb2TeF from Alexandria via LeMat-Bulk. Energies are from meta-GGA SCAN.

Cell lengths 4.709, 4.709, 5.192 Å; angles 90.00, 90.00, 90.00 degrees
Positions (direct):
Sb (0.000, 0.500, 0.000)
Sb (0.500, 0.000, 0.000)
Si (0.500, 0.500, 0.500)
Te (0.000, 0.000, 0.500)
F (0.000, 0.000, 0.000)

Summary:
**Mass density**: 6.03 g/cm³
**Calculated total energy**: -24.727 eV per atom
**Crystal system**: tetragonal
**Formation energy without anion corrections**: 339 meV per atom
**DOS at the Fermi energy**: 2.5 states/eV/f.u.
**Symmetry**: No. 123